(1)
VASP calculation (PBE) on a relaxed ScHg2Br crystal.

Values from the calculation:
As for the space-group type: P4/mmm (123). Its total moment is 0.00 μB/atom. For the raw formation energy, the calculation gives -0.2281 eV per atom.

a = 4.8799 Å, b = 4.8799 Å, c = 4.1672 Å
α = 90.00°, β = 90.00°, γ = 90.00°
With the nearest neighbours (Å) after each atom.
Atoms (fractional coordinates):
Br 0.0000 0.5000 0.5000  8 Hg 3.21, 4 Sc 3.45
Hg 0.0000 0.0000 0.0000  4 Br 3.21, 4 Sc 3.21, 4 Hg 3.45
Hg 0.5000 0.5000 0.0000  4 Sc 3.21, 4 Br 3.21, 4 Hg 3.45
Sc 0.5000 0.0000 0.5000  8 Hg 3.21, 4 Br 3.45

---

(2)
VASP calculation (PBE) on a relaxed HgBiSb2 crystal.

Values from the calculation:
As for the space-group type: R3m (160). Its total moment is 0.00 μB/atom. For the raw formation energy, the calculation gives 0.1403 eV per atom.

a = 4.2975 Å, b = 4.2975 Å, c = 8.0372 Å
α = 74.49°, β = 74.49°, γ = 60.00°
With the nearest neighbours (Å) after each atom.
Atoms (fractional coordinates):
Hg 0.4987 0.4987 0.5040  6 Sb 3.06-3.10
Bi 0.6675 0.6675 0.9976  6 Sb 3.18-3.19
Sb 0.0874 0.0874 0.7377  3 Hg 3.06, 3 Bi 3.18
Sb 0.2464 0.2464 0.2607  3 Hg 3.10, 3 Bi 3.19

---

Number 1: VASP energy -2.3801 eV/atom. Number 2: VASP energy -2.9666 eV/atom.